(1)
This record from the Alexandria database describes an optimized crystal structure of ThNiRu2. The functional is GGA-PBE.

Cell lengths 4.3921, 4.3921, 13.9369 Å; angles 90.00, 90.00, 120.00 degrees
Last column: nearest neighbours and their distance in Å.
Space group R-3m (No. 166, hexagonal axes)
Symmetry-distinct sites (fractional):
Th (0.0000, 0.0000, 0.0000) x3  2 Ru 2.65
Ni (0.0000, 0.0000, 0.5000) x3  6 Ru 2.56
Ru (0.0000, 0.0000, 0.1899) x6  3 Ni 2.56, 3 Ru 2.62, 1 Th 2.65

E above lowest polymorph   1.70 kJ per mole of atoms
Raw total energy   -8.06 eV per atom
Formation energy   -12 kJ/mol of atoms

---

(2)
This record from the Alexandria database describes an optimized crystal structure of NaInS2. The functional is GGA-PBE.

Cell lengths 9.7086, 4.5057, 11.6287 Å; angles 90.00, 120.52, 90.00 degrees
Last column: nearest neighbours and their distance in Å.
Space group P2_1/c (No. 14)
Symmetry-distinct sites (fractional):
Na (0.0851, 0.1947, 0.1732) x4  5 S 2.79-3.00
In (0.4056, 0.6407, 0.1142) x4  4 S 2.87-3.19
S (0.1131, 0.2035, 0.4426) x4  1 S 2.12
S (0.3155, 0.1447, 0.9352) x4  1 S 2.12

Uncorrected formation energy   -0.461 eV/atom
Raw total energy   -3.54 eV per atom

---

(3)
This record from the Alexandria database describes an optimized crystal structure of ErTl2SnF6. The functional is GGA-PBE.

Cell lengths 5.8896, 8.7303, 8.2553 Å; angles 90.00, 90.00, 90.00 degrees
Last column: nearest neighbours and their distance in Å.
Space group Pmmn (No. 59, origin choice 2)
Symmetry-distinct sites (fractional):
Er (0.2500, 0.2500, 0.1630) x2  6 F 2.14-2.19
Tl (0.2500, 0.0498, 0.5929) x4  4 F 2.96-3.06
Sn (0.2500, 0.7500, 0.2213) x2  4 F 2.14-2.25
F (0.0112, 0.7500, 0.0257) x4  1 Sn 2.14, 1 Er 2.19
F (0.0120, 0.2500, 0.3595) x4  1 Er 2.14
F (0.2500, 0.0030, 0.1669) x4  1 Er 2.16, 1 Sn 2.25

Uncorrected formation energy   -2.592 eV/atom
Raw total energy   -5.04 eV per atom

---

(4)
This record from the Alexandria database describes an optimized crystal structure of HoErIrOs. The functional is GGA-PBE.

Cell lengths 6.7812, 6.7812, 6.7812 Å; angles 90.00, 90.00, 90.00 degrees
Last column: nearest neighbours and their distance in Å.
Space group F-43m (No. 216)
Symmetry-distinct sites (fractional):
Ho (0.0000, 0.0000, 0.0000) x4  4 Os 2.94, 4 Ir 2.94
Er (0.0000, 0.0000, 0.5000) x4  4 Os 2.94, 4 Ir 2.94
Ir (0.2500, 0.2500, 0.7500) x4  4 Ho 2.94, 4 Er 2.94
Os (0.2500, 0.2500, 0.2500) x4  4 Ho 2.94, 4 Er 2.94

Raw total energy   -7.81 eV per atom
Formation energy   -48 kJ/mol of atoms